(1)
SiAs2C, relaxed, DFT PBE; symmetry = I-42d (122); final energy = -5.15 eV per atom; formation energy without anion corrections = 3.3 eV/f.u.
1.0
-2.7748 4.4720 -2.3571
1.8997 -1.5693 -5.2136
-3.6515 -0.8026 -4.2781
As C Si
4 2 2
Direct
0.5635 0.1250 0.2500 As
0.1865 0.6250 0.2500 As
0.8750 0.8135 0.7500 As
0.3750 0.4365 0.7500 As
0.5000 0.5000 0.0000 C
0.2500 0.7500 0.5000 C
0.7500 0.2500 0.5000 Si
0.0000 0.0000 0.0000 Si

---

(2)
PmCo4Ge, relaxed, DFT PBE; symmetry = Pmma (51); final energy = -6.35 eV per atom; E_form = -0.0553 eV/atom
1.0
3.9597 0.0000 0.0000
0.0000 7.6248 0.0000
0.0000 0.0000 6.2191
Pm Co Ge
2 8 2
Direct
0.0000 0.6453 0.7500 Pm
0.0000 0.3547 0.2500 Pm
0.5000 0.7715 0.4545 Co
0.5000 0.9559 0.7500 Co
0.0000 0.0000 0.0000 Co
0.5000 0.2285 0.9545 Co
0.5000 0.2285 0.5455 Co
0.5000 0.0441 0.2500 Co
0.0000 0.0000 0.5000 Co
0.5000 0.7715 0.0455 Co
0.0000 0.2449 0.7500 Ge
0.0000 0.7551 0.2500 Ge